Entry 1:
Entry from the Alexandria database: a geometry-optimized RbNaSn2F6 structure (PBE).

a b c (Å): 7.3992 8.1805 8.1805
angles (deg): 88.35 71.00 71.00
Fractional positions:
F 0.8204 0.9989 0.2784
F 0.3204 0.2784 0.9989
F 0.9670 0.4642 0.3102
Sn 0.7534 0.1935 0.4734
Sn 0.7466 0.5266 0.8065
Rb 0.2500 0.9577 0.0423
F 0.0330 0.5358 0.6898
Sn 0.2466 0.8065 0.5266
F 0.6137 0.0674 0.6760
Sn 0.2534 0.4734 0.1935
Na 0.7500 0.7319 0.2681
F 0.1137 0.6760 0.0674
Na 0.2500 0.2681 0.7319
F 0.6796 0.7216 0.0011
F 0.5330 0.6898 0.5358
F 0.8863 0.3240 0.9326
F 0.1796 0.0011 0.7216
F 0.4670 0.3102 0.4642
Rb 0.7500 0.0423 0.9577
F 0.3863 0.9326 0.3240

Summary:
Total moment ... 0.000 μB per formula unit
ΔE_f (raw) ... -2.448 eV/atom



Entry 2:
Entry from the Alexandria database: a geometry-optimized ZnGaNiAu2 structure (PBE).

a b c (Å): 4.8723 4.4185 4.8723
angles (deg): 90.00 90.00 90.00
Fractional positions:
Ga 0.0000 0.5000 0.0000
Zn 0.5000 0.5000 0.5000
Au 0.0000 0.0000 0.5000
Ni 0.0000 0.0000 0.0000
Au 0.5000 0.0000 0.0000

Summary:
Total moment ... 0.000 μB per formula unit
Formation energy from the elements ... 34.1 kJ/mol of atoms